No. 1
A plane-wave DFT calculation with PBE was carried out for crystalline NiHN at its relaxed geometry.

abc: 5.3809 5.3141 4.7941
angles: 90.00 127.45 90.00
Positions (direct):
Ni  0.1834  0.0937  0.0531
Ni  0.6834  0.9063  0.5531
Ni  0.1834  0.5937  0.5531
Ni  0.6834  0.4063  0.0531
H  0.7287  0.8359  0.1266
H  0.2287  0.1641  0.6266
H  0.7287  0.3359  0.6266
H  0.2287  0.6641  0.1266
N  0.2643  0.8015  0.3019
N  0.7643  0.1985  0.8019
N  0.2643  0.3015  0.8019
N  0.7643  0.6985  0.3019

Output
- V: 108.8 Å³/cell
- Energy above the most stable polymorph in this dataset: 0.30 eV/f.u.
- ρ: 4499 kg/m3
- Total moment: 0.00 μB/cell
- D(E_F): 0.11 states/eV/atom
- E: -5.66 eV per atom

=====

No. 2
A plane-wave DFT calculation with PBE was carried out for crystalline AcGa3 at its relaxed geometry.

abc: 4.3565 4.3566 5.3062
angles: 90.00 90.00 90.00
Positions (direct):
Ac  0.5000  0.0000  0.6425
Ga  0.0000  0.0000  0.1266
Ga  0.0000  0.5000  0.4377
Ga  0.5000  0.5000  0.1266

Output
- V: 100.7 Å³/cell
- Energy above the most stable polymorph in this dataset: 0.68 eV/f.u.
- ρ: 7192 kg/m3
- Total moment: 0.00 μB/cell
- D(E_F): 0.84 states/eV/atom
- E: -3.66 eV per atom

=====

No. 3
A plane-wave DFT calculation with PBE was carried out for crystalline Ac3Pm2HoTe6 at its relaxed geometry.

abc: 4.5143 9.2857 10.3047
angles: 104.84 102.65 90.00
Positions (direct):
Ac  0.5000  0.5000  0.0000
Ac  0.8302  0.1646  0.6604
Ac  0.1698  0.8354  0.3396
Pm  0.8315  0.6637  0.6631
Pm  0.1685  0.3363  0.3369
Ho  0.5000  0.0000  0.0000
Te  0.3416  0.9084  0.6832
Te  0.6696  0.5742  0.3393
Te  0.6584  0.0916  0.3168
Te  0.0029  0.2322  0.0058
Te  0.9971  0.7678  0.9942
Te  0.3304  0.4258  0.6607

Output
- V: 406.7 Å³/cell
- ρ: 7764 kg/m3
- Total moment: 0.00 μB/cell
- D(E_F): 0.54 states/eV/atom
- E: -5.19 eV per atom
- Formation energy from raw total energies: -1.418 eV per atom

=====

No. 4
A plane-wave DFT calculation with PBE was carried out for crystalline AcGePPt6 at its relaxed geometry.

abc: 7.7377 8.3973 8.0918
angles: 121.26 118.56 90.00
Positions (direct):
Ac  0.8493  0.5993  0.6987
Ac  0.1507  0.4007  0.3013
Ge  0.5000  0.0000  0.5000
Ge  0.0000  0.0000  0.5000
P  0.5000  0.5000  0.0000
P  0.5000  0.0000  0.0000
Pt  0.4189  0.6689  0.8378
Pt  0.8793  0.1293  0.7586
Pt  0.8563  0.1055  0.2469
Pt  0.3907  0.6414  0.2469
Pt  0.3907  0.1055  0.2469
Pt  0.8563  0.6414  0.2469
Pt  0.5811  0.3311  0.1622
Pt  0.1207  0.8707  0.2414
Pt  0.1437  0.8945  0.7531
Pt  0.6093  0.3586  0.7531
Pt  0.6093  0.8945  0.7531
Pt  0.1437  0.3586  0.7531

Output
- V: 372.6 Å³/cell
- ρ: 13380 kg/m3
- Total moment: 0.00 μB/cell
- D(E_F): 0.49 states/eV/atom
- E: -6.07 eV per atom

=====

No. 5
A plane-wave DFT calculation with PBE was carried out for crystalline MgB2SbCl at its relaxed geometry.

abc: 4.2581 5.3190 4.2581
angles: 90.00 90.00 90.00
Positions (direct):
Sb  0.0000  0.5000  0.0000
Mg  0.5000  0.5000  0.5000
B  0.0000  0.0000  0.5000
B  0.5000  0.0000  0.0000
Cl  0.0000  0.0000  0.0000

Output
- V: 96.4 Å³/cell
- ρ: 3498 kg/m3
- Total moment: 0.00 μB/cell
- D(E_F): 0.48 states/eV/atom
- E: -2.43 eV per atom
- Formation energy from raw total energies: 1.757 eV per atom

=====

No. 6
A plane-wave DFT calculation with PBE was carried out for crystalline RbS3N at its relaxed geometry.

abc: 6.5712 6.5712 6.5712
angles: 90.00 90.00 90.00
Site moments in Bohr magnetons follow the coordinates.
Positions (direct):
S  0.0000  0.5000  0.0000  0.92
S  0.0000  0.0000  0.5000  1.01
S  0.5000  0.0000  0.0000  0.90
Rb  0.0000  0.0000  0.0000  -0.01
N  0.5000  0.5000  0.5000  1.94

Output
- V: 283.8 Å³/cell
- Energy above the most stable polymorph in this dataset: 11.96 eV/f.u.
- ρ: 1145 kg/m3
- Total moment: 8.00 μB/cell
- D(E_F): 1.28 states/eV/atom
- E: -2.28 eV per atom
- Formation energy from raw total energies: 2.057 eV per atom

=====

No. 7
A plane-wave DFT calculation with PBE was carried out for crystalline LaMn2Ni at its relaxed geometry.

abc: 4.3890 3.5397 4.7525
angles: 75.39 90.00 90.00
Site moments in Bohr magnetons follow the coordinates.
Positions (direct):
La  0.5000  0.7500  0.7500  0.00
Mn  0.0000  0.0366  0.1213  0.43
Mn  0.0000  0.4634  0.3787  0.43
Ni  0.5000  0.2500  0.2500  0.11

Output
- V: 71.4 Å³/cell
- ρ: 7146 kg/m3
- Total moment: 1.01 μB/cell
- D(E_F): 1.30 states/eV/atom
- E: -6.86 eV per atom

=====

No. 8
A plane-wave DFT calculation with PBE was carried out for crystalline AlOsPb2 at its relaxed geometry.

abc: 10.2703 10.2703 10.2703
angles: 17.97 17.97 17.97
Positions (direct):
Pb  0.0174  0.0174  0.0174
Pb  0.2394  0.2394  0.2394
Os  0.7601  0.7601  0.7601
Al  0.4831  0.4831  0.4831

Output
- V: 90.1 Å³/cell
- ρ: 11644 kg/m3
- Total moment: 0.00 μB/cell
- D(E_F): 0.81 states/eV/atom
- E: -5.24 eV per atom

=====

No. 9
A plane-wave DFT calculation with PBE was carried out for crystalline Al8V2Si at its relaxed geometry.

abc: 4.8007 6.7841 6.7841
angles: 61.80 77.34 77.34
Positions (direct):
Al  0.7801  0.2519  0.6371
Al  0.2199  0.3629  0.7481
Al  0.9221  0.2258  0.2258
Al  0.0779  0.7742  0.7742
Al  0.7801  0.6371  0.2519
Al  0.2199  0.7481  0.3629
Al  0.3525  0.3413  0.3413
Al  0.6475  0.6587  0.6587
V  0.4831  0.1042  0.1042
V  0.5169  0.8958  0.8958
Si  0.0000  0.0000  0.0000

Output
- V: 188.3 Å³/cell
- ρ: 3050 kg/m3
- Total moment: 0.00 μB/cell
- D(E_F): 0.55 states/eV/atom
- E: -4.77 eV per atom
- Formation energy from raw total energies: 0.106 eV per atom

=====

No. 10
A plane-wave DFT calculation with PBE was carried out for crystalline Ba4NaCd3 at its relaxed geometry.

abc: 4.3412 6.1193 12.2652
angles: 90.00 90.00 90.00
Positions (direct):
Na  0.5000  0.5000  0.0000
Ba  0.0000  0.0000  0.5000
Ba  0.0000  0.5000  0.7349
Ba  0.0000  0.0000  0.0000
Ba  0.0000  0.5000  0.2651
Cd  0.5000  0.0000  0.2442
Cd  0.5000  0.5000  0.5000
Cd  0.5000  0.0000  0.7558

Output
- V: 325.8 Å³/cell
- ρ: 4635 kg/m3
- Total moment: 0.00 μB/cell
- D(E_F): 0.98 states/eV/atom
- E: -1.71 eV per atom

=====

No. 11
A plane-wave DFT calculation with PBE was carried out for crystalline LiAc2Au at its relaxed geometry.

abc: 3.8434 3.8434 11.7870
angles: 80.62 80.62 60.00
Positions (direct):
Ac  0.0853  0.0853  0.7442
Ac  0.9147  0.9147  0.2558
Au  0.0000  0.0000  0.0000
Li  0.5000  0.5000  0.5000

Output
- V: 148.1 Å³/cell
- ρ: 7377 kg/m3
- Total moment: 0.00 μB/cell
- D(E_F): 0.86 states/eV/atom
- E: -3.13 eV per atom

=====

No. 12
A plane-wave DFT calculation with PBE was carried out for crystalline CaPrSc2 at its relaxed geometry.

abc: 3.5559 3.5559 9.8187
angles: 90.00 90.00 90.00
Positions (direct):
Pr  0.5000  0.5000  0.0000
Sc  0.0000  0.0000  0.7664
Sc  0.0000  0.0000  0.2336
Ca  0.5000  0.5000  0.5000

Output
- V: 124.2 Å³/cell
- Energy above the most stable polymorph in this dataset: 0.01 eV/f.u.
- ρ: 3623 kg/m3
- Total moment: 0.16 μB/cell
- D(E_F): 1.85 states/eV/atom
- E: -4.71 eV per atom

=====

No. 13
A plane-wave DFT calculation with PBE was carried out for crystalline PmBi4Pb at its relaxed geometry.

abc: 6.5459 6.5459 6.5459
angles: 60.00 60.00 60.00
Positions (direct):
Pb  0.0000  0.0000  0.0000
Bi  0.6249  0.6249  0.1254
Bi  0.6249  0.1254  0.6249
Bi  0.6249  0.6249  0.6249
Bi  0.1254  0.6249  0.6249
Pm  0.2500  0.2500  0.2500

Output
- V: 198.3 Å³/cell
- ρ: 9947 kg/m3
- Total moment: 0.00 μB/cell
- D(E_F): 1.04 states/eV/atom
- E: -4.04 eV per atom

=====

No. 14
A plane-wave DFT calculation with PBE was carried out for crystalline LaSb2TeMo at its relaxed geometry.

abc: 5.1445 5.1445 5.7662
angles: 90.00 90.00 90.00
Site moments in Bohr magnetons follow the coordinates.
Positions (direct):
Sb  0.0000  0.5000  0.0000  -0.02
Sb  0.5000  0.0000  0.0000  -0.02
Mo  0.0000  0.0000  0.0000  0.60
Te  0.0000  0.0000  0.5000  0.01
La  0.5000  0.5000  0.5000  0.03

Output
- V: 152.6 Å³/cell
- Energy above the most stable polymorph in this dataset: 0.00 eV/f.u.
- ρ: 6594 kg/m3
- Total moment: 0.69 μB/cell
- D(E_F): 0.84 states/eV/atom
- E: -5.50 eV per atom
- Formation energy from raw total energies: -0.066 eV per atom

=====

No. 15
A plane-wave DFT calculation with PBE was carried out for crystalline Hf3Zn7Cu2 at its relaxed geometry.

abc: 5.1432 5.1432 8.7456
angles: 72.90 72.90 60.00
Site moments in Bohr magnetons follow the coordinates.
Positions (direct):
Hf  0.0000  0.0000  0.0000  0.06
Hf  0.8580  0.8580  0.4259  0.41
Hf  0.1420  0.1420  0.5741  0.41
Zn  0.5000  0.5000  0.5000  0.00
Zn  0.9237  0.4144  0.2475  0.01
Zn  0.4144  0.9237  0.2475  0.01
Zn  0.4144  0.4144  0.2475  0.01
Zn  0.0763  0.5856  0.7525  0.01
Zn  0.5856  0.5856  0.7525  0.01
Zn  0.5856  0.0763  0.7525  0.01
Cu  0.6653  0.6653  0.0040  0.01
Cu  0.3347  0.3347  0.9960  0.01

Output
- V: 188.4 Å³/cell
- ρ: 9873 kg/m3
- Total moment: 1.45 μB/cell
- D(E_F): 0.77 states/eV/atom
- E: -4.07 eV per atom

=====

No. 16
A plane-wave DFT calculation with PBE was carried out for crystalline BaTl5Br8 at its relaxed geometry.

abc: 8.5929 8.5929 8.5929
angles: 109.46 109.49 109.46
Positions (direct):
Ba  0.2500  0.5000  0.7500
Tl  0.9904  0.3720  0.1197
Tl  0.8803  0.8707  0.2523
Tl  0.7477  0.6280  0.6184
Tl  0.5000  0.0000  0.5000
Tl  0.3816  0.1293  0.0096
Br  0.1145  0.7447  0.0024
Br  0.9976  0.1122  0.7423
Br  0.7819  0.2563  0.3962
Br  0.6038  0.3857  0.8601
Br  0.4744  0.6143  0.2181
Br  0.6302  0.8878  0.8855
Br  0.2577  0.2553  0.3698
Br  0.1399  0.7437  0.5256

Output
- V: 488.4 Å³/cell
- ρ: 6114 kg/m3
- Total moment: 0.00 μB/cell
- D(E_F): 0.92 states/eV/atom
- E: -2.99 eV per atom
- Formation energy from raw total energies: -1.050 eV per atom

=====

No. 17
A plane-wave DFT calculation with PBE was carried out for crystalline Ti2Al5Ni2Ru at its relaxed geometry.

abc: 3.1008 9.7036 9.7036
angles: 90.00 90.00 90.00
Positions (direct):
Ti  0.0000  0.6814  0.1814
Ti  0.0000  0.3186  0.8186
Ti  0.0000  0.1814  0.3186
Ti  0.0000  0.8186  0.6814
Al  0.5000  0.2024  0.0478
Al  0.5000  0.7976  0.9522
Al  0.5000  0.0478  0.7976
Al  0.5000  0.7024  0.4522
Al  0.5000  0.9522  0.2024
Al  0.5000  0.2976  0.5478
Al  0.5000  0.5478  0.7024
Al  0.5000  0.4522  0.2976
Al  0.5000  0.5000  0.0000
Al  0.5000  0.0000  0.5000
Ni  0.0000  0.1303  0.6303
Ni  0.0000  0.8697  0.3697
Ni  0.0000  0.6303  0.8697
Ni  0.0000  0.3697  0.1303
Ru  0.0000  0.0000  0.0000
Ru  0.0000  0.5000  0.5000

Output
- V: 292.0 Å³/cell
- ρ: 5108 kg/m3
- Total moment: 0.00 μB/cell
- D(E_F): 0.84 states/eV/atom
- E: -6.00 eV per atom

=====

No. 18
A plane-wave DFT calculation with PBE was carried out for crystalline Rb2MoCl7 at its relaxed geometry.

abc: 7.8963 10.1373 9.4392
angles: 84.23 65.27 67.08
Site moments in Bohr magnetons follow the coordinates.
Positions (direct):
Rb  0.5778  0.9559  0.7203  0.00
Rb  0.7460  0.4559  0.2203  0.00
Rb  0.2540  0.5441  0.7797  0.00
Rb  0.4222  0.0441  0.2797  0.00
Mo  0.9641  0.2500  0.7500  0.90
Mo  0.0359  0.7500  0.2500  0.90
Cl  0.8050  0.4982  0.8238  0.02
Cl  0.8730  0.9982  0.3238  0.02
Cl  0.2319  0.8066  0.9884  -0.02
Cl  0.3047  0.2602  0.5792  -0.01
Cl  0.6511  0.2500  0.7500  -0.01
Cl  0.9730  0.3066  0.4884  -0.02
Cl  0.1441  0.2398  0.9208  -0.01
Cl  0.8559  0.7602  0.0792  -0.01
Cl  0.0270  0.6934  0.5116  -0.02
Cl  0.3489  0.7500  0.2500  -0.01
Cl  0.6953  0.7398  0.4208  -0.01
Cl  0.7681  0.1934  0.0116  -0.02
Cl  0.1270  0.0018  0.6762  0.02
Cl  0.1950  0.5018  0.1762  0.02

Output
- V: 630.4 Å³/cell
- ρ: 2713 kg/m3
- Total moment: 1.94 μB/cell
- D(E_F): 0.75 states/eV/atom
- E: -3.77 eV per atom
- Formation energy from raw total energies: -1.197 eV per atom

=====

No. 19
A plane-wave DFT calculation with PBE was carried out for crystalline TaHgCl3 at its relaxed geometry.

abc: 4.9255 4.9255 4.9255
angles: 90.00 90.00 90.00
Positions (direct):
Cl  0.0000  0.5000  0.0000
Cl  0.0000  0.0000  0.5000
Cl  0.5000  0.0000  0.0000
Hg  0.5000  0.5000  0.5000
Ta  0.0000  0.0000  0.0000

Output
- V: 119.5 Å³/cell
- Energy above the most stable polymorph in this dataset: 0.00 eV/f.u.
- ρ: 6780 kg/m3
- Total moment: 0.00 μB/cell
- D(E_F): 0.50 states/eV/atom
- E: -4.09 eV per atom
- Formation energy from raw total energies: -0.549 eV per atom

=====

No. 20
A plane-wave DFT calculation with PBE was carried out for crystalline ReAg3Br6Cl2 at its relaxed geometry.

abc: 6.3758 7.7061 8.3004
angles: 117.66 104.26 90.00
Site moments in Bohr magnetons follow the coordinates.
Positions (direct):
Re  0.5000  0.0000  0.0000  1.65
Ag  0.0000  0.5000  0.0000  -0.01
Ag  0.5000  0.5000  0.5000  -0.03
Ag  0.5000  0.0000  0.5000  -0.03
Br  0.7394  0.3272  0.1917  0.03
Br  0.2606  0.6728  0.8083  0.03
Br  0.7316  0.8873  0.7747  0.00
Br  0.2684  0.1127  0.2253  0.00
Br  0.2606  0.1355  0.8083  0.03
Br  0.7394  0.8645  0.1917  0.03
Cl  0.2674  0.6620  0.3239  -0.02
Cl  0.7326  0.3380  0.6761  -0.02

Output
- V: 347.0 Å³/cell
- ρ: 5074 kg/m3
- Total moment: 1.98 μB/cell
- D(E_F): 0.53 states/eV/atom
- E: -3.21 eV per atom
- Formation energy from raw total energies: -0.316 eV per atom